No. 1
! Sr3RhO GGA-PBE relaxed; values from VASP
&SYSTEM
  ibrav = 0, nat = 5, ntyp = 3
/
ATOMIC_SPECIES
Sr 87.62 Sr.upf
Rh 102.91 Rh.upf
O 16.00 O.upf
CELL_PARAMETERS angstrom
5.029 0.000 0.000
0.000 5.029 0.000
0.000 0.000 5.029
ATOMIC_POSITIONS angstrom
Sr 0.000 0.000 2.515
Sr 0.000 2.515 0.000
Sr 2.515 0.000 0.000
Rh 2.515 2.515 2.515
O 0.000 0.000 0.000
! electronic total energy	-22.732	eV/f.u.

---

No. 2
! Sr2TaMo GGA-PBE relaxed; values from VASP
&SYSTEM
  ibrav = 0, nat = 16, ntyp = 3
/
ATOMIC_SPECIES
Sr 87.62 Sr.upf
Ta 180.95 Ta.upf
Mo 95.94 Mo.upf
CELL_PARAMETERS angstrom
11.972 0.000 0.000
0.000 11.972 0.000
0.000 0.000 4.677
ATOMIC_POSITIONS angstrom
Sr 0.926 2.993 0.585
Sr 2.993 6.912 1.754
Sr 2.993 11.045 4.092
Sr 5.059 2.993 2.923
Sr 6.912 8.979 2.923
Sr 8.979 0.926 4.092
Sr 8.979 5.059 1.754
Sr 11.045 8.979 0.585
Ta 0.000 0.000 2.338
Ta 0.000 5.986 3.508
Ta 5.986 0.000 1.169
Ta 5.986 5.986 0.000
Mo 0.000 0.000 0.000
Mo 0.000 5.986 1.169
Mo 5.986 0.000 3.508
Mo 5.986 5.986 2.338
! energy of formation from the pure elements	1.236	eV per atom

---

No. 3
! La3IrPb GGA-PBE relaxed; values from VASP
&SYSTEM
  ibrav = 0, nat = 5, ntyp = 3
/
ATOMIC_SPECIES
La 138.91 La.upf
Ir 192.22 Ir.upf
Pb 207.20 Pb.upf
CELL_PARAMETERS angstrom
5.592 0.000 0.000
0.000 5.592 0.000
0.000 0.000 5.592
ATOMIC_POSITIONS angstrom
La 0.000 0.000 2.796
La 0.000 2.796 0.000
La 2.796 0.000 0.000
Ir 0.000 0.000 0.000
Pb 2.796 2.796 2.796
! energy of formation from the pure elements	-0.552	eV per atom

---

No. 4
! TlInTe3Pb GGA-PBE relaxed; values from VASP
&SYSTEM
  ibrav = 0, nat = 12, ntyp = 4
/
ATOMIC_SPECIES
Tl 204.38 Tl.upf
In 114.82 In.upf
Te 127.60 Te.upf
Pb 207.20 Pb.upf
CELL_PARAMETERS angstrom
9.275 0.000 0.000
0.000 4.650 0.000
-2.569 0.000 10.515
ATOMIC_POSITIONS angstrom
Tl 1.533 1.162 2.477
Tl 5.174 3.487 8.038
In -0.822 1.162 6.680
In 7.528 3.487 3.835
Te -1.641 1.162 9.324
Te 0.598 3.487 5.620
Te 3.809 3.487 1.906
Te 2.897 1.162 8.608
Te 6.109 1.162 4.895
Te 8.348 3.487 1.191
Pb 0.746 3.487 9.421
Pb 5.961 1.162 1.094
! electronic total energy	-20.174	eV/f.u.

---

No. 5
! Li2In8Rh3 GGA-PBE relaxed; values from VASP
&SYSTEM
  ibrav = 0, nat = 13, ntyp = 3
/
ATOMIC_SPECIES
Li 6.94 Li.upf
In 114.82 In.upf
Rh 102.91 Rh.upf
CELL_PARAMETERS angstrom
7.716 0.000 0.000
0.000 4.650 0.000
-2.230 0.000 7.412
ATOMIC_POSITIONS angstrom
Li 1.252 0.000 1.933
Li 4.234 0.000 5.479
In 0.165 2.325 2.759
In -0.897 0.000 6.567
In 2.636 2.325 0.911
In 1.558 0.000 4.722
In 3.928 0.000 2.689
In 2.850 2.325 6.500
In 6.383 0.000 0.844
In 5.321 2.325 4.652
Rh -1.115 0.000 3.706
Rh 0.220 2.325 5.511
Rh 5.266 2.325 1.901
! energy of formation from the pure elements	-0.272	eV per atom

---

No. 6
! Pm3Pr6DyEr2 GGA-PBE relaxed; values from VASP
&SYSTEM
  ibrav = 0, nat = 12, ntyp = 4
/
ATOMIC_SPECIES
Pm 145.00 Pm.upf
Pr 140.91 Pr.upf
Dy 162.50 Dy.upf
Er 167.26 Er.upf
CELL_PARAMETERS angstrom
3.171 -5.494 0.000
3.171 5.494 0.000
-2.110 0.000 11.811
ATOMIC_POSITIONS angstrom
Pm 0.000 0.000 0.000
Pm 3.171 1.832 0.000
Pm 3.171 -1.832 0.000
Pr 1.054 1.833 2.998
Pr 0.004 0.000 8.814
Pr 1.054 -1.833 2.998
Pr 3.178 1.833 8.813
Pr 4.227 0.000 2.997
Pr 3.178 -1.833 8.813
Dy 2.116 0.000 5.905
Er 2.116 3.663 5.905
Er 2.116 -3.663 5.905
! energy of formation from the pure elements	0.014	eV per atom

---

No. 7
! BaLaSc2Br GGA-PBE relaxed; values from VASP
&SYSTEM
  ibrav = 0, nat = 5, ntyp = 4
/
ATOMIC_SPECIES
Ba 137.33 Ba.upf
La 138.91 La.upf
Sc 44.96 Sc.upf
Br 79.90 Br.upf
CELL_PARAMETERS angstrom
5.307 0.000 0.000
0.000 5.307 0.000
0.000 0.000 7.008
ATOMIC_POSITIONS angstrom
Ba 0.000 0.000 0.000
La 0.000 0.000 3.504
Sc 0.000 2.653 3.504
Sc 2.653 0.000 3.504
Br 2.653 2.653 0.000
! electronic total energy	-18.520	eV/f.u.

---

No. 8
! Ta8Mn GGA-PBE relaxed; values from VASP
&SYSTEM
  ibrav = 0, nat = 9, ntyp = 2
/
ATOMIC_SPECIES
Ta 180.95 Ta.upf
Mn 54.94 Mn.upf
CELL_PARAMETERS angstrom
-4.918 4.918 1.623
4.918 -4.918 1.623
4.918 4.918 -1.623
ATOMIC_POSITIONS angstrom
Ta 3.269 0.000 0.000
Ta 6.566 0.000 0.000
Ta 0.000 3.269 0.000
Ta 3.350 3.350 0.000
Ta 1.568 -1.568 1.623
Ta -1.568 1.568 1.623
Ta 1.568 1.568 1.623
Ta 0.000 6.566 0.000
Mn 0.000 0.000 0.000
! energy of formation from the pure elements	-0.013	eV per atom

---

Please write out number 1 again, unchanged.
! Sr3RhO GGA-PBE relaxed; values from VASP
&SYSTEM
  ibrav = 0, nat = 5, ntyp = 3
/
ATOMIC_SPECIES
Sr 87.62 Sr.upf
Rh 102.91 Rh.upf
O 16.00 O.upf
CELL_PARAMETERS angstrom
5.029 0.000 0.000
0.000 5.029 0.000
0.000 0.000 5.029
ATOMIC_POSITIONS angstrom
Sr 0.000 0.000 2.515
Sr 0.000 2.515 0.000
Sr 2.515 0.000 0.000
Rh 2.515 2.515 2.515
O 0.000 0.000 0.000
! electronic total energy	-22.732	eV/f.u.

---

Q: What is the formula in the fifth record?
A: Li2In8Rh3